Entry 1:
Density functional theory data (PBE-GGA) for a relaxed structure of MgZr2Zn.

Cell: 4.841 4.841 4.841 Å, 60.00 60.00 60.00°
Fractional coordinates of all 4 atoms:
Zr: 0.750 0.750 0.750
Zr: 0.250 0.250 0.250
Zn: 0.500 0.500 0.500
Mg: 0.000 0.000 0.000

Values from the calculation:
- symmetry = Fm-3m
- offset from the most stable computed form (eV/atom) = 0.048
- magnetic moment (Bohr magnetons per cell) = 0.00
- ΔH_f (0 K) (meV/atom) = -65

Entry 2:
Density functional theory data (PBE-GGA) for a relaxed structure of Ca2Cu5Si3.

Cell: 4.092 4.092 10.018 Å, 90.00 90.00 90.00°
Fractional coordinates of all 10 atoms:
Cu: 0.500 0.500 0.500
Cu: 0.000 0.500 0.135
Cu: 0.000 0.000 0.000
Cu: 0.500 0.500 0.000
Cu: 0.500 0.000 0.865
Si: 0.500 0.000 0.635
Si: 0.000 0.500 0.365
Si: 0.000 0.000 0.500
Ca: 0.000 0.500 0.754
Ca: 0.500 0.000 0.246

Values from the calculation:
- symmetry = P-4m2
- offset from the most stable computed form (eV/atom) = 0.135
- E_form (uncorrected) (eV/atom) = -0.167
- magnetic moment (Bohr magnetons per cell) = 0.00

Entry 3:
Density functional theory data (PBE-GGA) for a relaxed structure of NaSmCdPt.

Cell: 4.977 4.977 4.977 Å, 60.00 60.00 60.00°
Fractional coordinates of all 4 atoms:
Cd: 0.500 0.500 0.500
Sm: 0.000 0.000 0.000
Pt: 0.750 0.750 0.750
Na: 0.250 0.250 0.250

Values from the calculation:
- symmetry = F-43m
- magnetic moment (Bohr magnetons per cell) = 0.00
- ΔH_f (0 K) (meV/atom) = -429

Entry 4:
Density functional theory data (PBE-GGA) for a relaxed structure of ZnMoSN2.

Cell: 3.749 3.749 4.683 Å, 90.00 90.00 90.00°
Fractional coordinates of all 5 atoms:
Zn: 0.000 0.000 0.000
Mo: 0.500 0.500 0.500
N: 0.500 0.000 0.000
N: 0.000 0.500 0.000
S: 0.000 0.000 0.500

Values from the calculation:
- symmetry = P4/mmm
- offset from the most stable computed form (eV/atom) = 1.306
- E_form (uncorrected) (eV/atom) = 1.656
- magnetic moment (Bohr magnetons per cell) = 0.00

Entry 5:
Density functional theory data (PBE-GGA) for a relaxed structure of KHg2W.

Cell: 8.761 8.761 8.761 Å, 161.14 148.91 36.61°
Fractional coordinates of all 4 atoms:
Hg: 0.076 0.076 0.000
Hg: 0.766 0.266 0.500
K: 0.433 0.433 0.000
W: 0.225 0.725 0.500

Values from the calculation:
- symmetry = Imm2
- offset from the most stable computed form (eV/atom) = 0.064
- magnetic moment (Bohr magnetons per cell) = 0.00
- ΔH_f (0 K) (meV/atom) = 751

Entry 6:
Density functional theory data (PBE-GGA) for a relaxed structure of Si2RhCl.

Cell: 2.869 4.598 4.658 Å, 90.00 90.00 90.00°
Fractional coordinates of all 4 atoms:
Si: 0.500 0.500 0.000
Si: 0.000 0.000 0.000
Cl: 0.500 0.000 0.500
Rh: 0.000 0.500 0.500

Values from the calculation:
- symmetry = Pmmm
- offset from the most stable computed form (eV/atom) = 0.517
- E_form (uncorrected) (eV/atom) = 0.402
- magnetic moment (Bohr magnetons per cell) = 0.00

Entry 7:
Density functional theory data (PBE-GGA) for a relaxed structure of Rb3Nd3AlSe8.

Cell: 8.445 8.452 9.578 Å, 116.23 90.00 119.97°
Fractional coordinates of all 15 atoms:
Se: 0.211 0.973 0.684
Se: 0.238 0.027 0.316
Se: 0.789 0.578 0.316
Se: 0.734 0.469 0.703
Se: 0.762 0.973 0.684
Se: 0.789 0.027 0.316
Se: 0.266 0.531 0.297
Se: 0.211 0.422 0.684
Rb: 0.000 0.500 0.000
Rb: 0.000 0.000 0.000
Rb: 0.500 0.500 0.000
Nd: 0.500 0.000 0.500
Nd: 0.500 0.500 0.500
Nd: 0.000 0.500 0.500
Al: 0.000 0.000 0.500

Values from the calculation:
- symmetry = C2/m
- E_form (uncorrected) (eV/atom) = -1.420
- magnetic moment (Bohr magnetons per cell) = 0.00

Entry 8:
Density functional theory data (PBE-GGA) for a relaxed structure of KMnRh2.

Cell: 2.873 3.730 7.636 Å, 90.00 90.00 90.00°
Site moments in Bohr magnetons follow the coordinates.
Fractional coordinates of all 4 atoms:
Rh: 0.500 0.500 0.172  0.14
Rh: 0.000 0.000 0.994  0.12
K: 0.000 0.000 0.485  0.02
Mn: 0.500 0.500 0.848  3.73

Values from the calculation:
- symmetry = Pmm2
- offset from the most stable computed form (eV/atom) = 0.160
- magnetic moment (Bohr magnetons per cell) = 4.50
- ΔH_f (0 K) (meV/atom) = 429

It is found that the E values, taken in the order of the records, are -5.056, -4.242, -3.677, -4.921, -2.912, -4.609, -4.675, -5.813 eV/atom.
It is found that the theoretical density values, taken in the order of the records, are 5634, 4772, 9159, 5586, 9244, 5258, 4394, 6085 kg/m3.